Below is TmPaMoRu after structural relaxation, with properties calculated at the PBE-GGA level.

## Properties
Formation enthalpy at 0 K ... -0.59 eV/f.u.
Size of the total moment ... 0.00 μB per formula unit
DFT total energy ... -8.667 eV/atom

a b c (Å): 4.8364 4.8364 4.8364
angles (deg): 60.00 60.00 60.00
With the nearest neighbours (Å) after each atom.
Positions (direct):
Mo: 0.7500 0.7500 0.7500  4 Pa 2.96, 4 Tm 2.96
Pa: 0.5000 0.5000 0.5000  4 Mo 2.96, 4 Ru 2.96
Tm: 0.0000 0.0000 0.0000  4 Ru 2.96, 4 Mo 2.96
Ru: 0.2500 0.2500 0.2500  4 Pa 2.96, 4 Tm 2.96